No. 1
CaTeP2O8: relaxed, GGA-PBE.

Unit cell a=8.060 b=8.060 c=8.060 alpha=34.81 beta=34.81 gamma=34.81
Fractional positions:
1 Ca 0.000 0.000 0.000
2 Te 0.500 0.500 0.500
3 P 0.252 0.252 0.252
4 P 0.748 0.748 0.748
5 O 0.077 0.465 0.770
6 O 0.230 0.535 0.923
7 O 0.319 0.319 0.319
8 O 0.465 0.770 0.077
9 O 0.535 0.923 0.230
10 O 0.681 0.681 0.681
11 O 0.770 0.077 0.465
12 O 0.923 0.230 0.535

Raw formation energy ... -2.00 eV/atom
Space-group type ... R32
Theoretical density ... 3.9 g/cm³
Energy ... -6.64 eV per atom

***

No. 2
V4Re2Tc3: relaxed, GGA-PBE.

Unit cell a=4.297 b=4.297 c=7.915 alpha=90.00 beta=90.00 gamma=120.00
Fractional positions:
1 V 0.000 0.000 0.168
2 V 0.000 0.000 0.832
3 V 0.333 0.667 0.390
4 V 0.667 0.333 0.610
5 Re 0.333 0.667 0.721
6 Re 0.667 0.333 0.279
7 Tc 0.000 0.000 0.500
8 Tc 0.333 0.667 0.062
9 Tc 0.667 0.333 0.938

Space-group type ... P-3m1
Formation energy ... -0.2731 eV/atom
Theoretical density ... 11.4 g/cm³
Energy ... -10.55 eV per atom

***

No. 3
Mg2Cd3Ag7: relaxed, GGA-PBE.

Unit cell a=4.765 b=3.036 c=16.297 alpha=90.00 beta=93.62 gamma=90.00
Fractional positions:
1 Mg 0.209 0.000 0.287
2 Mg 0.791 0.000 0.713
3 Cd 0.000 0.000 0.000
4 Cd 0.274 0.500 0.621
5 Cd 0.726 0.500 0.379
6 Ag 0.187 0.500 0.144
7 Ag 0.240 0.000 0.453
8 Ag 0.308 0.000 0.813
9 Ag 0.500 0.500 0.000
10 Ag 0.692 0.000 0.187
11 Ag 0.760 0.000 0.547
12 Ag 0.813 0.500 0.856

Space-group type ... P2/m
Formation energy ... -0.0211 eV/atom
ΔE to the lowest computed polymorph ... 87 meV/atom
Theoretical density ... 8.1 g/cm³
Energy ... -2.18 eV per atom

***

No. 4
Ba2CuTeS5: relaxed, GGA-PBE.

Unit cell a=9.486 b=9.486 c=12.419 alpha=90.00 beta=90.00 gamma=155.08
Fractional positions:
1 Ba 0.115 0.885 0.500
2 Ba 0.122 0.878 0.112
3 Ba 0.878 0.122 0.612
4 Ba 0.885 0.115 0.000
5 Cu 0.469 0.531 0.260
6 Cu 0.531 0.469 0.760
7 Te 0.210 0.790 0.810
8 Te 0.790 0.210 0.310
9 S 0.040 0.960 0.828
10 S 0.288 0.712 0.455
11 S 0.294 0.706 0.165
12 S 0.343 0.657 0.807
13 S 0.498 0.502 0.086
14 S 0.502 0.498 0.586
15 S 0.657 0.343 0.307
16 S 0.706 0.294 0.665
17 S 0.712 0.288 0.955
18 S 0.960 0.040 0.328

Raw formation energy ... -0.93 eV/atom
Space-group type ... Cmc2_1
Theoretical density ... 4.4 g/cm³
Energy ... -4.46 eV per atom

***

No. 5
Ho2ThCo: relaxed, GGA-PBE.

Unit cell a=6.917 b=9.588 c=6.272 alpha=90.00 beta=90.00 gamma=90.00
Fractional positions:
1 Ho 0.170 0.070 0.174
2 Ho 0.170 0.430 0.174
3 Ho 0.330 0.570 0.674
4 Ho 0.330 0.930 0.674
5 Ho 0.670 0.070 0.326
6 Ho 0.670 0.430 0.326
7 Ho 0.830 0.570 0.826
8 Ho 0.830 0.930 0.826
9 Th 0.053 0.250 0.661
10 Th 0.447 0.750 0.161
11 Th 0.553 0.250 0.839
12 Th 0.947 0.750 0.339
13 Co 0.130 0.750 0.968
14 Co 0.370 0.250 0.468
15 Co 0.630 0.750 0.532
16 Co 0.870 0.250 0.032

Space-group type ... Pnma
Formation energy ... -0.2074 eV/atom
ΔE to the lowest computed polymorph ... 0 meV/atom
Theoretical density ... 9.9 g/cm³
Energy ... -6.13 eV per atom

***

No. 6
AcNpBi2: relaxed, GGA-PBE.

Unit cell a=3.976 b=3.976 c=8.179 alpha=90.00 beta=90.00 gamma=90.00
Fractional positions:
1 Ac 0.000 0.000 0.000
2 Np 0.000 0.000 0.500
3 Bi 0.500 0.500 0.271
4 Bi 0.500 0.500 0.729

Space-group type ... P4/mmm
Formation energy ... -0.2803 eV/atom
ΔE to the lowest computed polymorph ... 0 meV/atom
Theoretical density ... 11.3 g/cm³
Energy ... -6.48 eV per atom

***

No. 7
ThAl2Fe: relaxed, GGA-PBE.

Unit cell a=9.086 b=9.086 c=9.086 alpha=20.08 beta=20.08 gamma=20.08
Fractional positions:
1 Th 0.000 0.000 0.000
2 Al 0.231 0.231 0.231
3 Al 0.769 0.769 0.769
4 Fe 0.500 0.500 0.500

Space-group type ... R-3m
Formation energy ... 0.1447 eV/atom
Theoretical density ... 7.3 g/cm³
Energy ... -5.70 eV per atom

***

No. 8
Pr3OsC3: relaxed, GGA-PBE.

Unit cell a=7.060 b=7.060 c=5.421 alpha=90.00 beta=90.00 gamma=101.34
Fractional positions:
1 Pr 0.107 0.893 0.750
2 Pr 0.169 0.412 0.750
3 Pr 0.412 0.169 0.250
4 Pr 0.588 0.831 0.750
5 Pr 0.831 0.588 0.250
6 Pr 0.893 0.107 0.250
7 Os 0.302 0.698 0.250
8 Os 0.698 0.302 0.750
9 C 0.124 0.876 0.250
10 C 0.173 0.432 0.250
11 C 0.432 0.173 0.750
12 C 0.568 0.827 0.250
13 C 0.827 0.568 0.750
14 C 0.876 0.124 0.750

Space-group type ... Cmcm
Formation energy ... -0.1644 eV/atom
Theoretical density ... 8.1 g/cm³
Energy ... -7.77 eV per atom

***

No. 9
BePt: relaxed, GGA-PBE.

Unit cell a=3.874 b=3.874 c=4.542 alpha=90.00 beta=90.00 gamma=120.00
Fractional positions:
1 Be 0.333 0.667 0.250
2 Be 0.667 0.333 0.750
3 Pt 0.333 0.667 0.750
4 Pt 0.667 0.333 0.250

Space-group type ... P6_3/mmc
Formation energy ... -0.2154 eV/atom
Theoretical density ... 11.5 g/cm³
Energy ... -5.10 eV per atom

***

No. 10
TlCoSb2: relaxed, GGA-PBE.

Unit cell a=3.199 b=3.199 c=9.005 alpha=90.00 beta=90.00 gamma=90.00
Fractional positions:
1 Tl 0.000 0.000 0.000
2 Co 0.500 0.500 0.231
3 Sb 0.000 0.000 0.377
4 Sb 0.500 0.500 0.690

Raw formation energy ... 0.27 eV/atom
Space-group type ... P4mm
ΔE to the lowest computed polymorph ... 277 meV/atom
Theoretical density ... 9.1 g/cm³
Energy ... -4.16 eV per atom

***

No. 11
Nd6Sn3Pd: relaxed, GGA-PBE.

Unit cell a=9.534 b=9.534 c=7.177 alpha=90.00 beta=90.00 gamma=107.31
Fractional positions:
1 Nd 0.054 0.946 0.500
2 Nd 0.110 0.523 0.920
3 Nd 0.232 0.326 0.273
4 Nd 0.307 0.693 0.473
5 Nd 0.326 0.232 0.773
6 Nd 0.477 0.890 0.920
7 Nd 0.523 0.110 0.420
8 Nd 0.674 0.768 0.273
9 Nd 0.693 0.307 0.973
10 Nd 0.768 0.674 0.773
11 Nd 0.890 0.477 0.420
12 Nd 0.946 0.054 0.000
13 Sn 0.017 0.258 0.637
14 Sn 0.258 0.017 0.137
15 Sn 0.452 0.548 0.974
16 Sn 0.548 0.452 0.474
17 Sn 0.742 0.983 0.637
18 Sn 0.983 0.742 0.137
19 Pd 0.163 0.837 0.812
20 Pd 0.837 0.163 0.312

Space-group type ... Cmc2_1
Formation energy ... -0.5073 eV/atom
Theoretical density ... 7.1 g/cm³
Energy ... -5.09 eV per atom

***

No. 12
YThSn: relaxed, GGA-PBE.

Unit cell a=9.315 b=9.315 c=9.315 alpha=151.70 beta=151.70 gamma=40.45
Fractional positions:
1 Y 0.176 0.176 0.000
2 Y 0.824 0.824 0.000
3 Th 0.000 0.500 0.500
4 Th 0.500 0.000 0.500
5 Sn 0.357 0.357 0.000
6 Sn 0.643 0.643 0.000

Space-group type ... I4/mmm
Formation energy ... -0.5382 eV/atom
ΔE to the lowest computed polymorph ... 3 meV/atom
Theoretical density ... 8.1 g/cm³
Energy ... -6.50 eV per atom

***

No. 13
KBa6Pt3: relaxed, GGA-PBE.

Unit cell a=13.642 b=4.676 c=15.114 alpha=90.00 beta=102.84 gamma=90.00
Fractional positions:
1 K 0.048 0.250 0.158
2 K 0.952 0.750 0.842
3 Ba 0.066 0.750 0.410
4 Ba 0.230 0.250 0.970
5 Ba 0.234 0.750 0.678
6 Ba 0.364 0.750 0.261
7 Ba 0.378 0.250 0.515
8 Ba 0.476 0.750 0.880
9 Ba 0.524 0.250 0.120
10 Ba 0.622 0.750 0.485
11 Ba 0.636 0.250 0.739
12 Ba 0.766 0.250 0.322
13 Ba 0.770 0.750 0.030
14 Ba 0.934 0.250 0.590
15 Pt 0.152 0.250 0.545
16 Pt 0.370 0.750 0.050
17 Pt 0.484 0.750 0.651
18 Pt 0.516 0.250 0.349
19 Pt 0.630 0.250 0.950
20 Pt 0.848 0.750 0.455

Space-group type ... P2_1/m
Formation energy ... -0.5320 eV/atom
Theoretical density ... 5.1 g/cm³
Energy ... -3.61 eV per atom

***

No. 14
OsSeCl2: relaxed, GGA-PBE.

Unit cell a=2.961 b=2.961 c=10.119 alpha=90.00 beta=90.00 gamma=90.00
Fractional positions:
1 Os 0.000 0.000 0.000
2 Se 0.000 0.000 0.500
3 Cl 0.500 0.500 0.158
4 Cl 0.500 0.500 0.842

Raw formation energy ... 0.87 eV/atom
Space-group type ... P4/mmm
ΔE to the lowest computed polymorph ... 984 meV/atom
Theoretical density ... 6.4 g/cm³
Energy ... -3.73 eV per atom

***

No. 15
Sc3PIr: relaxed, GGA-PBE.

Unit cell a=4.766 b=4.766 c=4.766 alpha=90.00 beta=90.00 gamma=90.00
Fractional positions:
1 Sc 0.000 0.000 0.500
2 Sc 0.000 0.500 0.000
3 Sc 0.500 0.000 0.000
4 P 0.000 0.000 0.000
5 Ir 0.500 0.500 0.500

Space-group type ... Pm-3m
Formation energy ... -0.3004 eV/atom
ΔE to the lowest computed polymorph ... 0 meV/atom
Theoretical density ... 5.5 g/cm³
Energy ... -6.95 eV per atom

***

No. 16
CsSbAu: relaxed, GGA-PBE.

Unit cell a=4.702 b=4.702 c=6.013 alpha=90.00 beta=90.00 gamma=120.00
Fractional positions:
1 Cs 0.000 0.000 0.000
2 Sb 0.667 0.333 0.500
3 Au 0.333 0.667 0.500

Raw formation energy ... -0.38 eV/atom
Space-group type ... P-6m2
ΔE to the lowest computed polymorph ... 30 meV/atom
Theoretical density ... 6.5 g/cm³
Energy ... -3.13 eV per atom

***

No. 17
LiNiAs2: relaxed, GGA-PBE.

Unit cell a=2.927 b=3.914 c=5.531 alpha=90.00 beta=90.00 gamma=90.00
Fractional positions:
1 Li 0.000 0.000 0.000
2 Ni 0.500 0.000 0.500
3 As 0.500 0.500 0.257
4 As 0.500 0.500 0.743

Space-group type ... Pmmm
Formation energy ... -0.2571 eV/atom
ΔE to the lowest computed polymorph ... 79 meV/atom
Theoretical density ... 5.6 g/cm³
Energy ... -4.51 eV per atom

***

No. 18
Mg6Ag2Ir: relaxed, GGA-PBE.

Unit cell a=7.838 b=7.838 c=4.559 alpha=106.65 beta=106.65 gamma=49.13
Fractional positions:
1 Mg 0.084 0.601 0.343
2 Mg 0.225 0.775 0.000
3 Mg 0.399 0.916 0.657
4 Mg 0.601 0.084 0.343
5 Mg 0.775 0.225 0.000
6 Mg 0.916 0.399 0.657
7 Ag 0.333 0.333 0.834
8 Ag 0.667 0.667 0.166
9 Ir 0.000 0.000 0.500

Space-group type ... C2/m
Formation energy ... -0.1074 eV/atom
ΔE to the lowest computed polymorph ... 66 meV/atom
Theoretical density ... 4.6 g/cm³
Energy ... -2.79 eV per atom

***

No. 19
SmDy7Cd4: relaxed, GGA-PBE.

Unit cell a=7.891 b=7.891 c=9.737 alpha=119.59 beta=119.59 gamma=42.42
Fractional positions:
1 Sm 0.000 0.000 0.000
2 Dy 0.071 0.071 0.413
3 Dy 0.205 0.205 0.880
4 Dy 0.263 0.263 0.307
5 Dy 0.500 0.500 0.000
6 Dy 0.737 0.737 0.693
7 Dy 0.795 0.795 0.120
8 Dy 0.929 0.929 0.587
9 Cd 0.318 0.318 0.659
10 Cd 0.459 0.459 0.288
11 Cd 0.541 0.541 0.712
12 Cd 0.682 0.682 0.341

Space-group type ... C2/m
Formation energy ... 0.0052 eV/atom
Theoretical density ... 8.3 g/cm³
Energy ... -3.38 eV per atom

***

No. 20
CdSbOs: relaxed, GGA-PBE.

Unit cell a=6.772 b=6.772 c=6.772 alpha=152.82 beta=152.82 gamma=38.82
Fractional positions:
1 Cd 0.000 0.000 0.000
2 Sb 0.263 0.263 0.000
3 Os 0.643 0.643 0.000

Raw formation energy ... 0.37 eV/atom
Space-group type ... I4mm
ΔE to the lowest computed polymorph ... 0 meV/atom
Theoretical density ... 10.9 g/cm³
Energy ... -5.06 eV per atom